A plane-wave DFT calculation with GGA-PBE was carried out for crystalline ZrTcPd at its relaxed geometry.

Results
**ΔE to the lowest computed polymorph**: 0.29 eV/f.u.
**E_form**: -0.752 eV per formula unit
**VASP energy**: -8.286 eV per atom

Cell and atoms, written as CIF:
```
data_ZrTcPd
_chemical_formula_sum 'Zr2 Tc2 Pd2'
_cell_length_a 5.028
_cell_length_b 4.463
_cell_length_c 5.144
_cell_angle_alpha 90.00
_cell_angle_beta 114.91
_cell_angle_gamma 90.00
_space_group_name_H-M_alt 'P 1 21/m 1'
_space_group_IT_number 11
_space_group_name_Hall '-P 2yb'
loop_
_atom_site_label
_atom_site_fract_x
_atom_site_fract_y
_atom_site_fract_z
_atom_site_occupancy
Zr1 0.039 0.250 0.226 1
Tc1 0.373 0.250 0.884 1
Pd1 0.345 0.750 0.516 1
```

A plane-wave DFT calculation with GGA-PBE was carried out for crystalline ZrTcPd at its relaxed geometry.

Results
**ΔE to the lowest computed polymorph**: 0.06 eV/f.u.
**E_form**: -0.985 eV per formula unit
**VASP energy**: -8.364 eV per atom

Cell and atoms, written as CIF:
```
data_ZrTcPd
_chemical_formula_sum 'Zr4 Tc4 Pd4'
_cell_length_a 8.127
_cell_length_b 4.757
_cell_length_c 5.395
_cell_angle_alpha 90.00
_cell_angle_beta 96.87
_cell_angle_gamma 90.00
_space_group_name_H-M_alt 'C 1 2/m 1'
_space_group_IT_number 12
_space_group_name_Hall '-C 2y'
loop_
_atom_site_label
_atom_site_fract_x
_atom_site_fract_y
_atom_site_fract_z
_atom_site_occupancy
Zr1 0.195 0.000 0.223 1
Tc1 0.000 0.500 0.000 1
Tc2 0.000 0.500 0.500 1
Pd1 0.133 0.000 0.717 1
```

A plane-wave DFT calculation with GGA-PBE was carried out for crystalline Zr2Tc2Pd at its relaxed geometry.

Results
**E_form**: -0.729 eV per formula unit
**VASP energy**: -8.750 eV per atom

Cell and atoms, written as CIF:
```
data_Zr2Tc2Pd
_chemical_formula_sum 'Zr4 Tc4 Pd2'
_cell_length_a 6.898
_cell_length_b 6.898
_cell_length_c 3.904
_cell_angle_alpha 90.00
_cell_angle_beta 90.00
_cell_angle_gamma 90.00
_space_group_name_H-M_alt 'P 4/m b m'
_space_group_IT_number 127
_space_group_name_Hall '-P 4 2ab'
loop_
_atom_site_label
_atom_site_fract_x
_atom_site_fract_y
_atom_site_fract_z
_atom_site_occupancy
Zr1 0.182 0.318 0.000 1
Tc1 0.121 0.621 0.500 1
Pd1 0.000 0.000 0.500 1
```

A plane-wave DFT calculation with GGA-PBE was carried out for crystalline ZrTcPd at its relaxed geometry.

Results
**ΔE to the lowest computed polymorph**: 0.19 eV/f.u.
**E_form**: -0.856 eV per formula unit
**VASP energy**: -8.321 eV per atom

Cell and atoms, written as CIF:
```
data_ZrTcPd
_chemical_formula_sum 'Zr2 Tc2 Pd2'
_cell_length_a 4.5811
_cell_length_b 4.5811
_cell_length_c 5.6292
_cell_angle_alpha 90.00
_cell_angle_beta 90.00
_cell_angle_gamma 120.00
_space_group_name_H-M_alt 'P 3 m 1'
_space_group_IT_number 156
_space_group_name_Hall 'P 3 -2"'
loop_
_atom_site_label
_atom_site_fract_x
_atom_site_fract_y
_atom_site_fract_z
_atom_site_occupancy
Zr1 0.0000 0.0000 0.0000 1
Zr2 0.3333 0.6667 0.5816 1
Tc1 0.0000 0.0000 0.5170 1
Tc2 0.6667 0.3333 0.7752 1
Pd1 0.3333 0.6667 0.0825 1
Pd2 0.6667 0.3333 0.2790 1
```